The following is a DFT calculation (PBE) of a relaxed structure of Mn2ZnAu8.

a = 14.3508 Å, b = 4.2338 Å, c = 6.6426 Å
α = 90.00°, β = 109.88°, γ = 90.00°
Space group C2/m (No. 12)
Inequivalent atoms, fractional coordinates:
Mn: 0.2211 0.0000 0.1446 (multiplicity 4)
Zn: 0.0000 0.5000 0.5000 (multiplicity 2)
Au: 0.0422 0.0000 0.2307 (multiplicity 4)
Au: 0.1001 0.5000 0.9477 (multiplicity 4)
Au: 0.1455 0.0000 0.6971 (multiplicity 4)
Au: 0.1777 0.5000 0.4129 (multiplicity 4)

Calculated values
energy above the lowest structure with this stoichiometry: 0.000 eV per atom
formation energy from the elements: -81 meV/atom

The following is a DFT calculation (PBE) of a relaxed structure of MnZn6Au12.

a = 12.0477 Å, b = 12.0477 Å, c = 8.1368 Å
α = 90.00°, β = 90.00°, γ = 120.00°
Space group R-3 (No. 148, hexagonal axes)
Inequivalent atoms, fractional coordinates:
Mn: 0.0000 0.0000 0.0000 (multiplicity 3)
Zn: 0.0531 0.8380 0.7450 (multiplicity 18)
Au: 0.0362 0.7992 0.0696 (multiplicity 18)
Au: 0.0623 0.8318 0.4179 (multiplicity 18)

Calculated values
energy above the lowest structure with this stoichiometry: 0.040 eV per atom
formation energy from the elements: -98 meV/atom